This record from Alexandria describes Tl2TcI8 after structural relaxation. The functional is GGA-PBE.

D(E_F): 8.1 states/eV per cell
M_tot: 2.29 Bohr magnetons per cell
E_tot: -2.7015 eV/atom
Symmetry: C2/m

a = 6.3864 Å, b = 9.6117 Å, c = 9.6117 Å
α = 82.74°, β = 78.71°, γ = 78.71°
Each line ends with the local moment (μB).
Fractional coordinates of all 11 atoms:
I (0.2118, 0.2244, 0.9165)  0.01
I (0.7882, 0.0835, 0.7756)  0.01
I (0.2118, 0.9165, 0.2244)  0.01
I (0.7417, 0.5032, 0.5032)  -0.01
I (0.7882, 0.7756, 0.0835)  0.01
I (0.2583, 0.4968, 0.4968)  -0.01
I (0.6861, 0.1733, 0.1733)  0.02
I (0.3139, 0.8267, 0.8267)  0.02
Tl (0.8840, 0.7324, 0.7324)  0.00
Tl (0.1160, 0.2676, 0.2676)  0.00
Tc (0.0000, 0.0000, 0.0000)  1.93